No. 1
Density functional theory data (PBE) for crystalline Na6P4Pb3S16 at its relaxed geometry.

As for the crystal system: trigonal. Its density of states at the Fermi level is 0.00 states/eV per cell. For the formation energy from raw total energies, the calculation gives -694 meV per atom.

Lattice parameters (Å, degrees): 19.6505 19.6505 6.2523 90.00 90.00 120.00
Space group R3m (No. 160, hexagonal axes)
Symmetry-distinct sites (fractional):
Na 0.0215 0.2367 0.0000
P 0.0000 0.0000 0.7875
P 0.0177 0.5088 0.1086
Pb 0.1770 0.0885 0.4706
S 0.0000 0.0000 0.4589
S 0.0973 0.3656 0.3034
S 0.0991 0.1982 0.3666
S 0.1153 0.0577 0.8936
S 0.1689 0.3378 0.7652


No. 2
Density functional theory data (PBE) for crystalline Na3PPb3S8 at its relaxed geometry.

As for the crystal system: trigonal. Its density of states at the Fermi level is 14.82 states/eV per cell. For the formation energy from raw total energies, the calculation gives -476 meV per atom.

Lattice parameters (Å, degrees): 7.9411 7.9411 20.6207 90.00 90.00 120.00
Space group R-3m (No. 166, hexagonal axes)
Symmetry-distinct sites (fractional):
Na 0.0000 0.5000 0.0000
P 0.0000 0.0000 0.5000
Pb 0.0000 0.5000 0.5000
S 0.0000 0.0000 0.2501
S 0.0691 0.5345 0.2338